A plane-wave DFT calculation with PBE-GGA was carried out for K2LiIr after structural relaxation.

Cell: 12.1445 12.1445 12.1445 Å, 14.88 14.88 14.88°
Last column: nearest neighbours and their distance in Å.
Fractional positions:
Ir: 0.7500 0.7500 0.7500  6 K 3.13, 6 Ir 3.15
K: 0.0127 0.0127 0.0127  3 Ir 3.13, 6 K 3.15
K: 0.4873 0.4873 0.4873  3 Ir 3.13, 6 K 3.15
Li: 0.2500 0.2500 0.2500  6 Li 3.15

Calculated total energy, eV per atom: -2.489
Space group: R-3m
Energy of formation from the pure elements, eV per formula unit: 3.013

---

A plane-wave DFT calculation with PBE-GGA was carried out for LiSb2Te after structural relaxation.

Cell: 5.7945 4.3032 4.3032 Å, 90.00 90.00 90.00°
Last column: nearest neighbours and their distance in Å.
Fractional positions:
Li: 0.5000 0.0000 0.5000  4 Te 3.04
Sb: 0.0000 0.0000 0.0000  4 Sb 3.04
Sb: 0.0000 0.5000 0.5000  4 Sb 3.04
Te: 0.5000 0.5000 0.0000  4 Li 3.04

Calculated total energy, eV per atom: -3.428
Space group: P4/mmm
Formation energy from raw total energies, eV/atom: -0.102

---

A plane-wave DFT calculation with PBE-GGA was carried out for V2FeNi after structural relaxation.

Cell: 2.4655 5.1028 7.9304 Å, 90.00 90.00 103.98°
Last column: nearest neighbours and their distance in Å.
Fractional positions:
V: 0.3759 0.7518 0.5211  3 V 2.47-2.48, 3 Ni 2.47-2.54, 4 Fe 2.61-2.69
V: 0.6241 0.2482 0.4789  3 V 2.47-2.48, 3 Ni 2.47-2.54, 4 Fe 2.61-2.69
V: 0.6241 0.2482 0.0211  3 V 2.47-2.48, 3 Ni 2.47-2.54, 4 Fe 2.61-2.69
V: 0.3759 0.7518 0.9789  3 V 2.47-2.48, 3 Ni 2.47-2.54, 4 Fe 2.61-2.69
Fe: 0.9818 0.9636 0.2500  2 Fe 2.47, 3 Ni 2.58-2.68, 8 V 2.61-2.69
Fe: 0.0182 0.0364 0.7500  2 Fe 2.47, 3 Ni 2.58-2.68, 8 V 2.61-2.69
Ni: 0.2526 0.5051 0.2500  2 Ni 2.47, 6 V 2.47-2.54, 3 Fe 2.58-2.68
Ni: 0.7474 0.4949 0.7500  2 Ni 2.47, 6 V 2.47-2.54, 3 Fe 2.58-2.68

Calculated total energy, eV per atom: -8.118
Space group: Cmcm
Energy of formation from the pure elements, eV per formula unit: 0.007

---

A plane-wave DFT calculation with PBE-GGA was carried out for LiHfNiGe after structural relaxation.

Cell: 4.4213 4.4213 4.4213 Å, 60.00 60.00 60.00°
Last column: nearest neighbours and their distance in Å.
Fractional positions:
Ni: 0.5000 0.5000 0.5000  4 Hf 2.71, 4 Li 2.71
Ge: 0.0000 0.0000 0.0000  4 Hf 2.71, 4 Li 2.71
Hf: 0.2500 0.2500 0.2500  4 Ge 2.71, 4 Ni 2.71
Li: 0.7500 0.7500 0.7500  4 Ge 2.71, 4 Ni 2.71

Calculated total energy, eV per atom: -5.926
Space group: F-43m
Energy of formation from the pure elements, eV per formula unit: -1.438

---

A plane-wave DFT calculation with PBE-GGA was carried out for NaNbRh2N after structural relaxation.

Cell: 4.9231 4.0382 4.9231 Å, 90.00 90.00 90.00°
Last column: nearest neighbours and their distance in Å.
Fractional positions:
Na: 0.5000 0.5000 0.5000  8 Rh 3.18, 4 N 3.48
Nb: 0.0000 0.0000 0.0000  2 N 2.02
Rh: 0.0000 0.0000 0.5000  2 Nb 2.46
Rh: 0.5000 0.0000 0.0000  2 Nb 2.46
N: 0.0000 0.5000 0.0000  2 Nb 2.02

Calculated total energy, eV per atom: -6.150
Space group: P4/mmm
Formation energy from raw total energies, eV/atom: 0.734

---

A plane-wave DFT calculation with PBE-GGA was carried out for CdHPd3 after structural relaxation.

Cell: 5.3562 5.3562 6.3524 Å, 65.07 65.07 90.00°
Last column: nearest neighbours and their distance in Å.
Fractional positions:
H: 0.0000 0.0000 0.0000  4 Pd 1.87
H: 0.2500 0.7500 0.5000  4 Pd 1.83
Pd: 0.6231 0.8715 0.2570  2 H 1.83-1.87
Pd: 0.1285 0.3769 0.7430  2 H 1.83-1.87
Pd: 0.1285 0.8801 0.7430  2 H 1.83-1.87
Pd: 0.1199 0.8715 0.2570  2 H 1.83-1.87
Pd: 0.3679 0.3679 0.2641  2 Cd 2.69, 7 Pd 2.69-3.00, 2 H 2.94
Pd: 0.6321 0.6321 0.7359  2 Cd 2.69, 7 Pd 2.69-3.00, 2 H 2.94
Cd: 0.6084 0.1084 0.7831  8 Pd 2.69-3.00, 1 Cd 2.89, 2 H 2.90
Cd: 0.8916 0.3916 0.2169  8 Pd 2.69-3.00, 1 Cd 2.89, 2 H 2.90

Calculated total energy, eV per atom: -4.040
Space group: I-4m2

---

A plane-wave DFT calculation with PBE-GGA was carried out for BaTl2Se after structural relaxation.

Cell: 9.3354 9.3354 7.3618 Å, 50.65 50.65 90.00°
Last column: nearest neighbours and their distance in Å.
Fractional positions:
Tl: 0.5751 0.1250 0.2500  2 Se 3.10, 2 Tl 3.39
Tl: 0.1749 0.6250 0.2500  2 Se 3.10, 2 Tl 3.39
Tl: 0.3750 0.4249 0.7500  2 Se 3.10, 2 Tl 3.39
Tl: 0.8750 0.8251 0.7500  2 Se 3.10, 2 Tl 3.39
Ba: 0.0000 0.0000 0.0000  2 Se 3.26
Ba: 0.7500 0.2500 0.5000  2 Se 3.26
Se: 0.5000 0.5000 0.0000  4 Tl 3.10, 2 Ba 3.26
Se: 0.2500 0.7500 0.5000  4 Tl 3.10, 2 Ba 3.26

Calculated total energy, eV per atom: -3.134
Space group: I-42d
Formation energy from raw total energies, eV/atom: -0.599

---

A plane-wave DFT calculation with PBE-GGA was carried out for Zr2SiTcB after structural relaxation.

Cell: 4.5868 4.0307 4.5868 Å, 90.00 90.00 90.00°
Last column: nearest neighbours and their distance in Å.
Fractional positions:
Si: 0.5000 0.5000 0.5000  8 Zr 3.05, 4 Tc 3.24
B: 0.0000 0.0000 0.0000  2 Tc 2.02
Tc: 0.0000 0.5000 0.0000  2 B 2.02
Zr: 0.0000 0.0000 0.5000  2 B 2.29
Zr: 0.5000 0.0000 0.0000  2 B 2.29

Calculated total energy, eV per atom: -8.173
Space group: P4/mmm
Formation energy from raw total energies, eV/atom: -0.260

---

A plane-wave DFT calculation with PBE-GGA was carried out for Zn2CoI2 after structural relaxation.

Cell: 7.5317 7.5317 4.3178 Å, 90.00 90.00 90.00°
Last column: nearest neighbours and their distance in Å.
Fractional positions:
I: 0.2260 0.7260 0.5000  2 Zn 2.75
I: 0.7260 0.7740 0.5000  2 Zn 2.75
I: 0.7740 0.2740 0.5000  2 Zn 2.75
I: 0.2740 0.2260 0.5000  2 Zn 2.75
Zn: 0.3865 0.8865 0.0000  1 Zn 2.42
Zn: 0.8865 0.6135 0.0000  1 Zn 2.42
Zn: 0.6135 0.1135 0.0000  1 Zn 2.42
Zn: 0.1135 0.3865 0.0000  1 Zn 2.42
Co: 0.0000 0.0000 0.0000  4 Zn 3.03
Co: 0.5000 0.5000 0.0000  4 Zn 3.03

Calculated total energy, eV per atom: -1.968
Space group: P4/mbm
Formation energy from raw total energies, eV/atom: 0.582

---

A plane-wave DFT calculation with PBE-GGA was carried out for AgAsIO6 after structural relaxation.

Cell: 5.2243 5.2243 10.4221 Å, 90.00 90.00 120.00°
Last column: nearest neighbours and their distance in Å.
Fractional positions:
Ag: 0.0000 0.0000 0.0000  6 O 2.49
Ag: 0.0000 0.0000 0.5000  6 O 2.49
As: 0.6667 0.3333 0.2500  6 O 1.89
As: 0.3333 0.6667 0.7500  6 O 1.89
I: 0.3333 0.6667 0.2500  6 O 2.04
I: 0.6667 0.3333 0.7500  6 O 2.04
O: 0.6344 0.6120 0.1459  1 As 1.89, 1 I 2.04
O: 0.9775 0.3656 0.1459  1 As 1.89, 1 I 2.04
O: 0.3656 0.9775 0.6459  1 As 1.89, 1 I 2.04
O: 0.0225 0.6344 0.8541  1 As 1.89, 1 I 2.04
O: 0.3880 0.3656 0.3541  1 As 1.89, 1 I 2.04
O: 0.9775 0.6120 0.3541  1 As 1.89, 1 I 2.04
O: 0.6120 0.9775 0.8541  1 As 1.89, 1 I 2.04
O: 0.6344 0.0225 0.3541  1 As 1.89, 1 I 2.04
O: 0.0225 0.3880 0.6459  1 As 1.89, 1 I 2.04
O: 0.3880 0.0225 0.1459  1 As 1.89, 1 I 2.04
O: 0.6120 0.6344 0.6459  1 As 1.89, 1 I 2.04
O: 0.3656 0.3880 0.8541  1 As 1.89, 1 I 2.04

Calculated total energy, eV per atom: -4.794
Space group: P-31c
Formation energy from raw total energies, eV/atom: -0.483

---

A plane-wave DFT calculation with PBE-GGA was carried out for LaGeSe2 after structural relaxation.

Cell: 5.6216 5.6216 9.1145 Å, 72.04 72.04 90.00°
Last column: nearest neighbours and their distance in Å.
Fractional positions:
Ge: 0.5000 0.5000 0.0000  4 Se 2.79
Ge: 0.2500 0.7500 0.5000  4 Se 2.79
Se: 0.6015 0.1250 0.2500  2 Ge 2.79, 2 La 2.92
Se: 0.1485 0.6250 0.2500  2 Ge 2.79, 2 La 2.92
Se: 0.3750 0.3985 0.7500  2 Ge 2.79, 2 La 2.92
Se: 0.8750 0.8515 0.7500  2 Ge 2.79, 2 La 2.92
La: 0.0000 0.0000 0.0000  4 Se 2.92
La: 0.7500 0.2500 0.5000  4 Se 2.92

Calculated total energy, eV per atom: -4.887
Space group: I-42d
Formation energy from raw total energies, eV/atom: -0.759

---

A plane-wave DFT calculation with PBE-GGA was carried out for CoBr3 after structural relaxation.

Cell: 5.7404 5.7404 5.7404 Å, 90.00 90.00 90.00°
Last column: nearest neighbours and their distance in Å.
Fractional positions:
Co: 0.0000 0.0000 0.0000  12 Br 3.21
Co: 0.5000 0.5000 0.5000  12 Br 3.21
Br: 0.7500 0.5000 0.0000  2 Br 2.87, 4 Co 3.21
Br: 0.2500 0.5000 0.0000  2 Br 2.87, 4 Co 3.21
Br: 0.0000 0.7500 0.5000  2 Br 2.87, 4 Co 3.21
Br: 0.0000 0.2500 0.5000  2 Br 2.87, 4 Co 3.21
Br: 0.5000 0.0000 0.2500  2 Br 2.87, 4 Co 3.21
Br: 0.5000 0.0000 0.7500  2 Br 2.87, 4 Co 3.21

Calculated total energy, eV per atom: -2.396
Space group: Pm-3n
Formation energy from raw total energies, eV/atom: 0.635

---

A plane-wave DFT calculation with PBE-GGA was carried out for CeAg2Se3 after structural relaxation.

Cell: 4.3834 6.7729 11.3363 Å, 101.44 90.00 90.00°
Last column: nearest neighbours and their distance in Å.
Fractional positions:
Ce: 0.7500 0.4391 0.3154  6 Se 2.76-3.04
Ce: 0.2500 0.5609 0.6846  6 Se 2.76-3.04
Ag: 0.7500 0.5141 0.9158  4 Se 2.65-2.75, 2 Ag 2.94
Ag: 0.2500 0.4859 0.0842  4 Se 2.65-2.75, 2 Ag 2.94
Ag: 0.2500 0.0988 0.4324  4 Se 2.63-2.77
Ag: 0.7500 0.9012 0.5676  4 Se 2.63-2.77
Se: 0.2500 0.1885 0.2171  2 Ag 2.63-2.74, 2 Ce 2.86
Se: 0.7500 0.8115 0.7829  2 Ag 2.63-2.74, 2 Ce 2.86
Se: 0.2500 0.3028 0.8448  3 Ag 2.65-2.75, 1 Ce 2.76
Se: 0.7500 0.6972 0.1552  3 Ag 2.65-2.75, 1 Ce 2.76
Se: 0.7500 0.2959 0.5510  3 Ag 2.72-2.77, 3 Ce 3.02-3.04
Se: 0.2500 0.7041 0.4490  3 Ag 2.72-2.77, 3 Ce 3.02-3.04

Calculated total energy, eV per atom: -4.503
Space group: P2_1/m
Formation energy from raw total energies, eV/atom: -0.821

---

A plane-wave DFT calculation with PBE-GGA was carried out for Cd2RuPt after structural relaxation.

Cell: 4.9790 4.9790 4.9790 Å, 130.66 130.66 72.35°
Last column: nearest neighbours and their distance in Å.
Fractional positions:
Cd: 0.0000 0.0000 0.0000  4 Cd 2.89, 4 Ru 2.89, 4 Pt 2.94
Cd: 0.2500 0.7500 0.5000  4 Cd 2.89, 4 Pt 2.89, 4 Ru 2.94
Pt: 0.5000 0.5000 0.0000  4 Ru 2.89, 8 Cd 2.89-2.94
Ru: 0.7500 0.2500 0.5000  8 Cd 2.89-2.94, 4 Pt 2.89

Calculated total energy, eV per atom: -4.125
Space group: I-4m2
Energy of formation from the pure elements, eV per formula unit: 0.648

---

A plane-wave DFT calculation with PBE-GGA was carried out for NaCuH3 after structural relaxation.

Cell: 5.5564 3.3551 6.5710 Å, 75.35 73.49 72.57°
Last column: nearest neighbours and their distance in Å.
Fractional positions:
H: 0.4690 0.6921 0.1868  1 H 0.77
H: 0.1373 0.4194 0.0669  1 Cu 1.59
H: 0.8514 0.8894 0.4103  1 Cu 1.59
H: 0.6728 0.3083 0.7537  3 Cu 1.70-1.87
H: 0.5224 0.6159 0.2898  1 H 0.77
H: 0.3150 0.0009 0.7234  3 Cu 1.70-1.86
Cu: 0.3449 0.4265 0.8431  2 H 1.59-1.70
Cu: 0.6426 0.8825 0.6335  2 H 1.59-1.70
Na: 0.8698 0.0653 0.0395  4 H 2.23-2.34
Na: 0.1187 0.2433 0.4377  4 H 2.23-2.34

Calculated total energy, eV per atom: -3.132
Space group: P1

---

A plane-wave DFT calculation with PBE-GGA was carried out for LiLaW2 after structural relaxation.

Cell: 4.6572 4.6572 4.6572 Å, 60.00 60.00 60.00°
Last column: nearest neighbours and their distance in Å.
Fractional positions:
Li: 0.0000 0.0000 0.0000  8 W 2.85
W: 0.2500 0.2500 0.2500  4 La 2.85, 4 Li 2.85
W: 0.7500 0.7500 0.7500  4 La 2.85, 4 Li 2.85
La: 0.5000 0.5000 0.5000  8 W 2.85

Calculated total energy, eV per atom: -6.956
Space group: Fm-3m
Energy of formation from the pure elements, eV per formula unit: 4.923

---

A plane-wave DFT calculation with PBE-GGA was carried out for V2TeIr after structural relaxation.

Cell: 5.8411 5.8411 7.1368 Å, 65.84 65.84 90.00°
Last column: nearest neighbours and their distance in Å.
Fractional positions:
Ir: 0.0000 0.0000 0.0000  4 V 2.39
Ir: 0.7500 0.2500 0.5000  4 V 2.39
Te: 0.5000 0.5000 0.0000  4 V 2.68
Te: 0.2500 0.7500 0.5000  4 V 2.68
V: 0.6692 0.1250 0.2500  2 Ir 2.39
V: 0.0808 0.6250 0.2500  2 Ir 2.39
V: 0.3750 0.3308 0.7500  2 Ir 2.39
V: 0.8750 0.9192 0.7500  2 Ir 2.39

Calculated total energy, eV per atom: -7.106
Space group: I-42d
Formation energy from raw total energies, eV/atom: 0.454

---

A plane-wave DFT calculation with PBE-GGA was carried out for Tb4ZnGa3 after structural relaxation.

Cell: 4.2398 4.1618 11.0286 Å, 90.00 90.00 90.00°
Last column: nearest neighbours and their distance in Å.
Fractional positions:
Tb: 0.5000 0.5000 0.3596  6 Ga 3.06-3.18, 1 Zn 3.15
Tb: 0.0000 0.5000 0.8585  5 Ga 3.05-3.13, 2 Zn 3.18
Tb: 0.0000 0.0000 0.1434  4 Zn 3.07, 3 Ga 3.12-3.23
Tb: 0.5000 0.0000 0.6415  7 Ga 3.06-3.18
Zn: 0.5000 0.5000 0.0736  2 Ga 2.67
Ga: 0.0000 0.5000 0.5743  2 Ga 2.64
Ga: 0.0000 0.0000 0.4263  2 Ga 2.64
Ga: 0.5000 0.0000 0.9227  2 Zn 2.67

Calculated total energy, eV per atom: -4.137
Space group: Pmm2
Energy of formation from the pure elements, eV per formula unit: -4.216

---

A plane-wave DFT calculation with PBE-GGA was carried out for Mn2RhW after structural relaxation.

Cell: 4.2727 4.2727 4.2727 Å, 60.00 60.00 60.00°
Last column: nearest neighbours and their distance in Å.
Fractional positions:
Mn: 0.2500 0.2500 0.2500  4 W 2.62, 4 Rh 2.62
Mn: 0.7500 0.7500 0.7500  4 W 2.62, 4 Rh 2.62
Rh: 0.0000 0.0000 0.0000  8 Mn 2.62
W: 0.5000 0.5000 0.5000  8 Mn 2.62

Calculated total energy, eV per atom: -9.676
Space group: Fm-3m
Energy of formation from the pure elements, eV per formula unit: -0.059

---

A plane-wave DFT calculation with PBE-GGA was carried out for SrWAu after structural relaxation.

Cell: 4.9287 4.9287 4.9287 Å, 60.00 60.00 60.00°
Last column: nearest neighbours and their distance in Å.
Fractional positions:
Au: 0.7500 0.7500 0.7500  4 W 3.02, 4 Sr 3.02
Sr: 0.0000 0.0000 0.0000  4 Au 3.02
W: 0.5000 0.5000 0.5000  4 Au 3.02

Calculated total energy, eV per atom: -4.843
Space group: F-43m
Energy of formation from the pure elements, eV per formula unit: 3.385